No. 1
PBE P4Ir, optimized geometry; VASP energy = -6.520 eV/atom; DOS at the Fermi energy = 0.75 states/eV per cell
1.0
4.884 0.000 0.000
0.000 4.835 0.000
-1.335 0.000 6.701
P Ir
8 2
Direct
0.127 0.156 0.424
0.127 0.344 0.924
0.273 0.684 0.751
0.273 0.816 0.251
0.727 0.184 0.749
0.727 0.316 0.249
0.873 0.656 0.076
0.873 0.844 0.576
0.500 0.000 0.000
0.500 0.500 0.500



No. 2
PBE Cs2RbMoI6, optimized geometry; raw formation energy = -930 kJ/mol of formula units
1.0
8.456 0.000 0.000
0.000 12.590 0.000
0.000 0.000 9.693
Cs Rb Mo I
4 2 2 12
Direct
0.250 0.032 0.193
0.250 0.468 0.193
0.750 0.532 0.807
0.750 0.968 0.807
0.250 0.250 0.697
0.750 0.750 0.303
0.250 0.750 0.795
0.750 0.250 0.205
0.012 0.750 0.592
0.018 0.750 0.007
0.250 0.525 0.794
0.250 0.975 0.794
0.482 0.750 0.007
0.488 0.750 0.592
0.512 0.250 0.408
0.518 0.250 0.993
0.750 0.025 0.206
0.750 0.475 0.206
0.982 0.250 0.993
0.988 0.250 0.408



Calculated calculated volume (Å³ per cell), listed in the same order as above: 158; 1032
Calculated total magnetic moment (μB/cell), listed in the same order as above: 0.0; 6.0